1.
Computed, not measured: a geometry-optimized HoSi2Ir structure at the PBE level of DFT.

a = 9.209 Å, b = 9.209 Å, c = 9.209 Å
α = 153.76°, β = 124.15°, γ = 62.73°
Fractional positions:
Ho1 0.257 0.000 0.257
Ho2 0.705 0.205 0.500
Ho3 0.295 0.795 0.500
Ho4 0.743 0.000 0.743
Ir1 0.606 0.354 0.252
Ir2 0.897 0.646 0.252
Ir3 0.103 0.354 0.748
Ir4 0.394 0.646 0.748
Si1 0.425 0.425 0.000
Si2 0.575 0.575 0.000
Si3 0.353 0.200 0.152
Si4 0.952 0.800 0.152
Si5 0.923 0.423 0.500
Si6 0.077 0.577 0.500
Si7 0.048 0.200 0.848
Si8 0.647 0.800 0.848

Properties
Symmetry   Immm (71)

=====

2.
Computed, not measured: a geometry-optimized TaBiPd structure at the PBE level of DFT.

a = 4.622 Å, b = 4.622 Å, c = 4.622 Å
α = 60.00°, β = 60.00°, γ = 60.00°
Fractional positions:
Bi1 0.250 0.250 0.250
Pd1 0.750 0.750 0.750
Ta1 0.000 0.000 0.000

Properties
Symmetry   F-43m (216)

=====

3.
Computed, not measured: a geometry-optimized PrNdCo2Ge4 structure at the PBE level of DFT.

a = 4.233 Å, b = 8.643 Å, c = 8.643 Å
α = 28.58°, β = 90.00°, γ = 90.00°
Fractional positions:
Co1 0.000 0.183 0.183
Co2 0.500 0.817 0.817
Ge1 0.000 0.045 0.045
Ge2 0.500 0.250 0.250
Ge3 0.000 0.751 0.751
Ge4 0.500 0.954 0.954
Nd1 0.000 0.391 0.391
Pr1 0.500 0.608 0.608

Properties
Symmetry   Amm2 (38)

=====

4.
Computed, not measured: a geometry-optimized ZrInCuIr structure at the PBE level of DFT.

a = 4.609 Å, b = 4.609 Å, c = 4.609 Å
α = 60.00°, β = 60.00°, γ = 60.00°
Fractional positions:
Cu1 0.750 0.750 0.750
In1 0.000 0.000 0.000
Ir1 0.250 0.250 0.250
Zr1 0.500 0.500 0.500

Properties
Symmetry   F-43m (216)
ΔE to the lowest computed polymorph   0.000 eV/atom

=====

5.
Computed, not measured: a geometry-optimized UNbCu structure at the PBE level of DFT.

a = 4.410 Å, b = 4.410 Å, c = 4.410 Å
α = 60.00°, β = 60.00°, γ = 60.00°
Fractional positions:
Cu1 0.250 0.250 0.250
Nb1 0.750 0.750 0.750
U1 0.000 0.000 0.000

Properties
DFT formation energy   1.09 eV/atom
Symmetry   F-43m (216)
ΔE to the lowest computed polymorph   0.289 eV/atom

=====

6.
Computed, not measured: a geometry-optimized Gd2Zn structure at the PBE level of DFT.

a = 6.228 Å, b = 6.228 Å, c = 6.228 Å
α = 60.00°, β = 60.00°, γ = 60.00°
Fractional positions:
Gd1 0.625 0.625 0.125
Gd2 0.625 0.125 0.625
Gd3 0.125 0.625 0.625
Gd4 0.625 0.625 0.625
Zn1 0.000 0.000 0.000
Zn2 0.250 0.250 0.250

Properties
DFT formation energy   0.47 eV/atom
Symmetry   Fd-3m (227)

=====

7.
Computed, not measured: a geometry-optimized LiPuAs2 structure at the PBE level of DFT.

a = 3.917 Å, b = 3.917 Å, c = 10.235 Å
α = 90.00°, β = 90.00°, γ = 90.00°
Last column: magnetic moment on the atom in μB.
Fractional positions:
As1 0.500 0.000 0.170  -0.14
As2 0.000 0.000 0.500  -0.06
As3 0.500 0.500 0.500  -0.06
As4 0.000 0.500 0.830  -0.14
Li1 0.000 0.000 0.000  -0.01
Li2 0.500 0.500 0.000  -0.01
Pu1 0.000 0.500 0.275  4.97
Pu2 0.500 0.000 0.725  4.97

Properties
Symmetry   P4/nmm (129)

=====

8.
Computed, not measured: a geometry-optimized ScTlNi2 structure at the PBE level of DFT.

a = 4.496 Å, b = 4.496 Å, c = 4.496 Å
α = 60.00°, β = 60.00°, γ = 60.00°
Fractional positions:
Ni1 0.000 0.000 0.000
Ni2 0.750 0.750 0.750
Sc1 0.250 0.250 0.250
Tl1 0.500 0.500 0.500

Properties
Symmetry   F-43m (216)

=====

9.
Computed, not measured: a geometry-optimized GdFe6Sn6 structure at the PBE level of DFT.

a = 5.413 Å, b = 8.943 Å, c = 10.362 Å
α = 64.43°, β = 90.00°, γ = 90.00°
Last column: magnetic moment on the atom in μB.
Fractional positions:
Fe1 0.000 0.247 0.000  2.26
Fe2 0.500 0.247 0.000  2.24
Fe3 0.000 0.753 0.000  2.26
Fe4 0.500 0.753 0.000  2.24
Fe5 0.750 0.122 0.250  2.27
Fe6 0.750 0.627 0.250  2.27
Fe7 0.000 0.000 0.500  2.27
Fe8 0.500 0.000 0.500  2.29
Fe9 0.000 0.500 0.500  2.27
Fe10 0.500 0.500 0.500  2.30
Fe11 0.250 0.373 0.750  2.27
Fe12 0.250 0.878 0.750  2.27
Gd1 0.250 0.873 0.254  -0.13
Gd2 0.750 0.127 0.746  -0.13
Sn1 0.750 0.459 0.082  -0.07
Sn2 0.750 0.958 0.084  -0.08
Sn3 0.250 0.213 0.249  -0.09
Sn4 0.250 0.538 0.249  -0.09
Sn5 0.750 0.295 0.410  -0.07
Sn6 0.750 0.789 0.422  -0.07
Sn7 0.250 0.211 0.578  -0.07
Sn8 0.250 0.705 0.590  -0.07
Sn9 0.750 0.462 0.751  -0.09
Sn10 0.750 0.787 0.751  -0.09
Sn11 0.250 0.042 0.916  -0.08
Sn12 0.250 0.541 0.918  -0.07

Properties
Symmetry   Cmcm (63)

=====

10.
Computed, not measured: a geometry-optimized InTc structure at the PBE level of DFT.

a = 3.870 Å, b = 3.870 Å, c = 3.870 Å
α = 60.00°, β = 60.00°, γ = 60.00°
Last column: magnetic moment on the atom in μB.
Fractional positions:
In1 0.000 0.000 0.000  -0.08
Tc1 0.500 0.500 0.500  1.78

Properties
Symmetry   Fm-3m (225)

=====

11.
Computed, not measured: a geometry-optimized GePdW2 structure at the PBE level of DFT.

a = 4.471 Å, b = 4.471 Å, c = 4.471 Å
α = 60.00°, β = 60.00°, γ = 60.00°
Fractional positions:
Ge1 0.500 0.500 0.500
Pd1 0.250 0.250 0.250
W1 0.000 0.000 0.000
W2 0.750 0.750 0.750

Properties
Symmetry   F-43m (216)

=====

12.
Computed, not measured: a geometry-optimized LaSmNi2Pb structure at the PBE level of DFT.

a = 3.775 Å, b = 7.590 Å, c = 7.590 Å
α = 31.54°, β = 90.00°, γ = 90.00°
Fractional positions:
La1 0.000 0.360 0.360
Ni1 0.500 0.200 0.200
Ni2 0.500 0.799 0.799
Pb1 0.500 0.001 0.001
Sm1 0.000 0.640 0.640

Properties
Symmetry   Amm2 (38)

=====

E, respectively: -0.2580; -0.2436; -0.2183; -0.2343; -0.2675; -0.1123; -0.2635; -0.1836; -0.2265; -0.2061; -0.3148; -0.1973 hartree per atom.